Version one
{"formula": "PrErPb", "functional": "PBE", "state": "relaxed", "lattice": [[-1.827, 1.827, 7.078], [1.827, -1.827, 7.078], [1.827, 1.827, -7.078]], "species": ["Pr", "Er", "Pb"], "fractional_positions": [[0.000, 0.000, 0.000], [0.315, 0.315, 0.000], [0.664, 0.664, 0.000]], "m_tot_mub_per_cell": 0.0}

---

Version two
{"formula": "PrErPb", "functional": "PBE", "state": "relaxed", "lattice": [[5.193, 0.000, 0.000], [-2.597, 4.498, 0.000], [0.000, 0.000, 4.154]], "species": ["Pr", "Er", "Pb"], "fractional_positions": [[0.000, 0.000, 0.000], [0.333, 0.667, 0.499], [0.667, 0.333, 0.504]], "m_tot_mub_per_cell": 0.0}

---

Which structure is the most stable? The one labeled version one.

---

Version one
{"formula": "Pr5ErPb6", "functional": "PBE", "state": "relaxed", "lattice": [[8.108, -4.625, 0.000], [8.108, 4.625, 0.000], [-1.562, 0.000, 4.837]], "species": ["Pr", "Pr", "Pr", "Pr", "Pr", "Er", "Pb", "Pb", "Pb", "Pb", "Pb", "Pb"], "fractional_positions": [[0.000, 0.000, 0.000], [0.167, 0.167, 0.667], [0.336, 0.336, 0.336], [0.664, 0.664, 0.664], [0.833, 0.833, 0.333], [0.500, 0.500, 0.000], [0.087, 0.584, 0.835], [0.254, 0.746, 0.500], [0.416, 0.913, 0.165], [0.584, 0.087, 0.835], [0.746, 0.254, 0.500], [0.913, 0.416, 0.165]], "m_tot_mub_per_cell": 0.0}

---

Version two
{"formula": "Pr5ErPb6", "functional": "PBE", "state": "relaxed", "lattice": [[4.199, -5.721, 0.000], [4.199, 5.721, 0.000], [-1.584, 0.000, 8.295]], "species": ["Pr", "Pr", "Pr", "Pr", "Pr", "Er", "Pb", "Pb", "Pb", "Pb", "Pb", "Pb"], "fractional_positions": [[0.000, 0.000, 0.000], [0.170, 0.830, 0.500], [0.331, 0.669, 0.000], [0.669, 0.331, 0.000], [0.830, 0.170, 0.500], [0.500, 0.500, 0.500], [0.095, 0.413, 0.254], [0.255, 0.255, 0.746], [0.413, 0.095, 0.254], [0.587, 0.905, 0.746], [0.745, 0.745, 0.254], [0.905, 0.587, 0.746]], "m_tot_mub_per_cell": 0.0}

---

Which structure is the most stable? The one labeled version one.

---

Version one
{"formula": "ErPuRuPb", "functional": "PBE", "state": "relaxed", "lattice": [[0.000, 3.612, 3.612], [3.612, 0.000, 3.612], [3.612, 3.612, 0.000]], "species": ["Er", "Pu", "Ru", "Pb"], "fractional_positions": [[0.000, 0.000, 0.000], [0.500, 0.500, 0.500], [0.250, 0.250, 0.250], [0.750, 0.750, 0.750]], "m_tot_mub_per_cell": 5.0}

---

Version two
{"formula": "ErPuRuPb", "functional": "PBE", "state": "relaxed", "lattice": [[3.325, 0.000, 0.000], [0.000, 3.325, 0.000], [0.000, 0.000, 8.622]], "species": ["Er", "Pu", "Ru", "Pb"], "fractional_positions": [[0.000, 0.000, 0.000], [0.000, 0.000, 0.602], [0.500, 0.500, 0.802], [0.500, 0.500, 0.297]], "m_tot_mub_per_cell": 4.9}

---

Which structure is the most stable? The one labeled version two.